No. 1
DFT (SCAN) results for KCaLa3 at its PBEsol-relaxed geometry.

## Properties
D(E_F)	5.2	states/eV/cell
raw total energy	-28.66	eV/atom
ΔE_f	4.02	eV per formula unit
space-group type	No. 221
magnetic moment	0.0	μB/f.u.

Cell: 5.7740 5.7740 5.7740 Å, 90.00 90.00 90.00°
With the nearest neighbours (Å) after each atom.
Atoms (fractional coordinates):
Ca: 0.5000 0.5000 0.5000  12 La 4.08
La: 0.5000 0.0000 0.0000  2 K 2.89
K: 0.0000 0.0000 0.0000  6 La 2.89
La: 0.0000 0.5000 0.0000  2 K 2.89
La: 0.0000 0.0000 0.5000  2 K 2.89

No. 2
DFT (SCAN) results for K2CaLa at its PBEsol-relaxed geometry.

## Properties
D(E_F)	4.0	states/eV/cell
raw total energy	-16.85	eV/atom
ΔE_f	2.02	eV per formula unit
energy relative to the lowest polymorph listed for this composition	1.20	eV per formula unit
space-group type	No. 225
magnetic moment	2.0	μB/f.u.

Cell: 6.4515 6.4515 6.4515 Å, 60.00 60.00 60.00°
With the nearest neighbours (Å) after each atom.
Atoms (fractional coordinates):
Ca: 0.0000 0.0000 0.0000  8 K 3.95
K: 0.7500 0.7500 0.7500  4 La 3.95, 4 Ca 3.95
La: 0.5000 0.5000 0.5000  8 K 3.95
K: 0.2500 0.2500 0.2500  4 Ca 3.95, 4 La 3.95

No. 3
DFT (SCAN) results for K2CaLa at its PBEsol-relaxed geometry.

## Properties
D(E_F)	5.0	states/eV/cell
raw total energy	-17.15	eV/atom
ΔE_f	0.82	eV per formula unit
energy relative to the lowest polymorph listed for this composition	0.00	eV per formula unit
space-group type	No. 99
magnetic moment	0.8	μB/f.u.

Cell: 3.8164 3.8164 13.3346 Å, 90.00 90.00 90.00°
With the nearest neighbours (Å) after each atom.
Atoms (fractional coordinates):
Ca: 0.5000 0.5000 0.7231  4 La 3.78, 4 Ca 3.82
K: 0.0000 0.0000 0.9784  4 K 3.82
La: 0.0000 0.0000 0.5244  4 Ca 3.78, 4 La 3.82
K: 0.5000 0.5000 0.2740  4 K 3.82

No. 4
DFT (SCAN) results for K2LiCaLa at its PBEsol-relaxed geometry.

## Properties
D(E_F)	4.3	states/eV/cell
raw total energy	-13.59	eV/atom
ΔE_f	3.85	eV per formula unit
space-group type	No. 123
magnetic moment	3.5	μB/f.u.

Cell: 6.4966 6.9173 6.9173 Å, 90.00 90.00 90.00°
With the nearest neighbours (Å) after each atom.
Atoms (fractional coordinates):
Li: 0.5000 0.5000 0.5000  8 K 4.74, 4 La 4.89
K: 0.0000 0.0000 0.5000  2 Ca 3.46
Ca: 0.0000 0.0000 0.0000  2 La 3.25, 4 K 3.46
La: 0.5000 0.0000 0.0000  2 Ca 3.25
K: 0.0000 0.5000 0.0000  2 Ca 3.46

No. 5
DFT (SCAN) results for KCaLaNb2 at its PBEsol-relaxed geometry.

## Properties
D(E_F)	5.4	states/eV/cell
raw total energy	-23.65	eV/atom
ΔE_f	9.11	eV per formula unit
space-group type	No. 123
magnetic moment	3.7	μB/f.u.

Cell: 5.0855 5.0855 5.8005 Å, 90.00 90.00 90.00°
With the nearest neighbours (Å) after each atom.
Atoms (fractional coordinates):
Ca: 0.0000 0.0000 0.0000  4 Nb 2.54
La: 0.0000 0.0000 0.5000  2 Ca 2.90
K: 0.5000 0.5000 0.5000  4 La 3.60, 8 Nb 3.86
Nb: 0.0000 0.5000 0.0000  2 Ca 2.54
Nb: 0.5000 0.0000 0.0000  2 Ca 2.54

No. 6
DFT (SCAN) results for KCa2LaOs at its PBEsol-relaxed geometry.

## Properties
D(E_F)	4.8	states/eV/cell
raw total energy	-27.65	eV/atom
ΔE_f	4.39	eV per formula unit
space-group type	No. 123
magnetic moment	0.0	μB/f.u.

Cell: 4.8833 6.2389 6.2389 Å, 90.00 90.00 90.00°
With the nearest neighbours (Å) after each atom.
Atoms (fractional coordinates):
Os: 0.5000 0.0000 0.0000  2 La 2.44
Ca: 0.0000 0.5000 0.0000  2 La 3.12
Ca: 0.0000 0.0000 0.5000  2 La 3.12
K: 0.5000 0.5000 0.5000  8 Ca 3.96, 4 Os 4.41
La: 0.0000 0.0000 0.0000  2 Os 2.44

No. 7
DFT (SCAN) results for KCa2LaP at its PBEsol-relaxed geometry.

## Properties
D(E_F)	4.4	states/eV/cell
raw total energy	-15.61	eV/atom
ΔE_f	3.12	eV per formula unit
space-group type	No. 123
magnetic moment	1.6	μB/f.u.

Cell: 5.5220 5.3376 5.3376 Å, 90.00 90.00 90.00°
With the nearest neighbours (Å) after each atom.
Atoms (fractional coordinates):
P: 0.5000 0.0000 0.0000  2 K 2.76
La: 0.5000 0.5000 0.5000  4 P 3.77, 8 Ca 3.84
K: 0.0000 0.0000 0.0000  4 Ca 2.67, 2 P 2.76
Ca: 0.0000 0.0000 0.5000  2 K 2.67
Ca: 0.0000 0.5000 0.0000  2 K 2.67

No. 8
DFT (SCAN) results for KCaLa2Ru at its PBEsol-relaxed geometry.

## Properties
D(E_F)	5.0	states/eV/cell
raw total energy	-27.67	eV/atom
ΔE_f	0.70	eV per formula unit
space-group type	No. 123
magnetic moment	0.0	μB/f.u.

Cell: 5.3241 5.3241 6.4964 Å, 90.00 90.00 90.00°
With the nearest neighbours (Å) after each atom.
Atoms (fractional coordinates):
La: 0.5000 0.0000 0.0000  2 Ru 2.66
K: 0.0000 0.0000 0.5000  2 Ru 3.25
La: 0.0000 0.5000 0.0000  2 Ru 2.66
Ru: 0.0000 0.0000 0.0000  4 La 2.66
Ca: 0.5000 0.5000 0.5000  4 K 3.76, 8 La 4.20

No. 9
DFT (SCAN) results for KCaLaY2 at its PBEsol-relaxed geometry.

## Properties
D(E_F)	3.3	states/eV/cell
raw total energy	-22.47	eV/atom
ΔE_f	4.44	eV per formula unit
space-group type	No. 123
magnetic moment	0.0	μB/f.u.

Cell: 5.5534 5.5688 5.5688 Å, 90.00 90.00 90.00°
With the nearest neighbours (Å) after each atom.
Atoms (fractional coordinates):
La: 0.5000 0.5000 0.5000  8 Y 3.93, 4 Ca 3.94
Y: 0.0000 0.5000 0.0000  2 K 2.78
Y: 0.0000 0.0000 0.5000  2 K 2.78
K: 0.0000 0.0000 0.0000  2 Ca 2.78, 4 Y 2.78
Ca: 0.5000 0.0000 0.0000  2 K 2.78

No. 10
DFT (SCAN) results for KLi2Ca at its PBEsol-relaxed geometry.

## Properties
D(E_F)	2.6	states/eV/cell
raw total energy	-5.55	eV/atom
ΔE_f	0.56	eV per formula unit
space-group type	No. 6
magnetic moment	0.1	μB/f.u.

Cell: 3.9408 5.4946 7.0735 Å, 90.00 106.02 90.00°
With the nearest neighbours (Å) after each atom.
Atoms (fractional coordinates):
Li: 0.8195 0.0000 0.0097  2 Li 3.24, 2 Ca 3.43-3.44
Li: 0.9422 0.5000 0.2635  2 Li 3.24, 4 Ca 3.55
K: 0.2154 0.5000 0.8036  7 Li 3.66-3.70, 2 K 3.94
Ca: 0.5229 0.0000 0.4232  6 Li 3.43-3.55

No. 11
DFT (SCAN) results for KLiCa2 at its PBEsol-relaxed geometry.

## Properties
D(E_F)	3.5	states/eV/cell
raw total energy	-7.33	eV/atom
ΔE_f	0.73	eV per formula unit
space-group type	No. 10
magnetic moment	0.0	μB/f.u.

Cell: 3.8056 6.2333 7.1018 Å, 90.00 98.54 90.00°
With the nearest neighbours (Å) after each atom.
Atoms (fractional coordinates):
Ca: 0.7819 0.0000 0.7315  5 Ca 3.65-3.93, 2 Li 3.68, 2 K 3.89
Li: 0.0000 0.5000 0.5000  4 Ca 3.68, 2 K 3.77, 2 Li 3.81
Ca: 0.2181 0.0000 0.2685  5 Ca 3.65-3.93, 2 Li 3.68, 2 K 3.89
K: 0.5000 0.5000 0.0000  2 Li 3.77, 2 K 3.81, 4 Ca 3.89

No. 12
DFT (SCAN) results for KLiCa2 at its PBEsol-relaxed geometry.

## Properties
D(E_F)	3.3	states/eV/cell
raw total energy	-7.38	eV/atom
ΔE_f	0.54	eV per formula unit
space-group type	No. 71
magnetic moment	0.1	μB/f.u.

Cell: 3.9983 6.4099 7.5384 Å, 115.16 105.38 90.00°
With the nearest neighbours (Å) after each atom.
Atoms (fractional coordinates):
Ca: 0.7192 0.7192 0.4384  2 Li 3.49, 4 Ca 3.86
Li: 0.0000 0.5000 0.0000  4 Ca 3.49, 4 K 3.78
K: 0.5000 0.0000 0.0000  4 Li 3.78, 2 K 4.00, 4 Ca 4.17
Ca: 0.2808 0.2808 0.5616  2 Li 3.49, 4 Ca 3.86